Crystalline LaPr2Nd9 at its relaxed geometry. Source: Alexandria, functional PBE-GGA.

Summary:
**Formation energy from the elements**: 14 kJ/mol of formula units

Structure (CIF):
```
data_LaPr2Nd9
_chemical_formula_sum 'La1 Pr2 Nd9'
_space_group_name_H-M_alt 'P 1'
_space_group_IT_number 1
_space_group_name_Hall 'P 1'
_cell_length_a 5.222
_cell_length_b 5.222
_cell_length_c 15.662
_cell_angle_alpha 90.00
_cell_angle_beta 90.00
_cell_angle_gamma 90.00
loop_
_atom_site_label
_atom_site_type_symbol
_atom_site_fract_x
_atom_site_fract_y
_atom_site_fract_z
La1 La 0.000 0.000 0.000
Pr1 Pr 0.000 0.000 0.333
Pr2 Pr 0.000 0.000 0.667
Nd1 Nd 0.500 0.500 0.000
Nd2 Nd 0.500 0.500 0.334
Nd3 Nd 0.500 0.500 0.666
Nd4 Nd 0.500 0.000 0.167
Nd5 Nd 0.500 0.000 0.500
Nd6 Nd 0.500 0.000 0.833
Nd7 Nd 0.000 0.500 0.167
Nd8 Nd 0.000 0.500 0.500
Nd9 Nd 0.000 0.500 0.833
```

=====

Crystalline CaSb3I at its relaxed geometry. Source: Alexandria, functional PBE-GGA.

Summary:
**Energy above the most stable polymorph in this dataset**: 0 meV/atom
**Raw formation energy**: 2.68 eV/f.u.

Structure (CIF):
```
data_CaSb3I
_chemical_formula_sum 'Ca1 Sb3 I1'
_space_group_name_H-M_alt 'P 1'
_space_group_IT_number 1
_space_group_name_Hall 'P 1'
_cell_length_a 5.772
_cell_length_b 5.772
_cell_length_c 5.772
_cell_angle_alpha 90.00
_cell_angle_beta 90.00
_cell_angle_gamma 90.00
loop_
_atom_site_label
_atom_site_type_symbol
_atom_site_fract_x
_atom_site_fract_y
_atom_site_fract_z
I1 I 0.000 0.000 0.000
Sb1 Sb 0.000 0.500 0.000
Sb2 Sb 0.000 0.000 0.500
Sb3 Sb 0.500 0.000 0.000
Ca1 Ca 0.500 0.500 0.500
```

=====

Crystalline Ga5Hg3Se12 at its relaxed geometry. Source: Alexandria, functional PBE-GGA.

Summary:
**Raw formation energy**: -3.08 eV/f.u.

Structure (CIF):
```
data_Ga5Hg3Se12
_chemical_formula_sum 'Ga20 Hg12 Se48'
_space_group_name_H-M_alt 'P 1'
_space_group_IT_number 1
_space_group_name_Hall 'P 1'
_cell_length_a 13.926
_cell_length_b 13.926
_cell_length_c 13.926
_cell_angle_alpha 109.47
_cell_angle_beta 109.47
_cell_angle_gamma 109.47
loop_
_atom_site_label
_atom_site_type_symbol
_atom_site_fract_x
_atom_site_fract_y
_atom_site_fract_z
Hg1 Hg 0.750 0.375 0.125
Hg2 Hg 0.875 0.750 0.125
Hg3 Hg 0.375 0.750 0.625
Hg4 Hg 0.250 0.125 0.375
Hg5 Hg 0.875 0.125 0.250
Hg6 Hg 0.375 0.625 0.250
Hg7 Hg 0.625 0.375 0.750
Hg8 Hg 0.125 0.875 0.750
Hg9 Hg 0.750 0.875 0.625
Hg10 Hg 0.625 0.250 0.375
Hg11 Hg 0.125 0.250 0.875
Hg12 Hg 0.250 0.625 0.875
Ga1 Ga 0.125 0.375 0.250
Ga2 Ga 0.000 0.500 0.000
Ga3 Ga 0.000 0.000 0.000
Ga4 Ga 0.375 0.250 0.125
Ga5 Ga 0.500 0.000 0.500
Ga6 Ga 0.500 0.500 0.000
Ga7 Ga 0.125 0.750 0.375
Ga8 Ga 0.750 0.125 0.875
Ga9 Ga 0.750 0.625 0.375
Ga10 Ga 0.375 0.125 0.750
Ga11 Ga 0.625 0.875 0.250
Ga12 Ga 0.500 0.500 0.500
Ga13 Ga 0.500 0.000 0.000
Ga14 Ga 0.000 0.000 0.500
Ga15 Ga 0.250 0.375 0.625
Ga16 Ga 0.250 0.875 0.125
Ga17 Ga 0.000 0.500 0.500
Ga18 Ga 0.875 0.250 0.625
Ga19 Ga 0.625 0.750 0.875
Ga20 Ga 0.875 0.625 0.750
Se1 Se 0.703 0.134 0.030
Se2 Se 0.327 0.530 0.396
Se3 Se 0.970 0.366 0.297
Se4 Se 0.530 0.203 0.134
Se5 Se 0.569 0.703 0.673
Se6 Se 0.970 0.604 0.173
Se7 Se 0.327 0.797 0.431
Se8 Se 0.104 0.931 0.134
Se9 Se 0.604 0.970 0.673
Se10 Se 0.703 0.569 0.173
Se11 Se 0.797 0.470 0.366
Se12 Se 0.827 0.896 0.030
Se13 Se 0.134 0.703 0.530
Se14 Se 0.366 0.396 0.069
Se15 Se 0.069 0.896 0.366
Se16 Se 0.431 0.134 0.604
Se17 Se 0.069 0.173 0.203
Se18 Se 0.470 0.673 0.104
Se19 Se 0.827 0.931 0.297
Se20 Se 0.134 0.431 0.104
Se21 Se 0.366 0.970 0.797
Se22 Se 0.604 0.634 0.431
Se23 Se 0.896 0.827 0.530
Se24 Se 0.797 0.327 0.931
Se25 Se 0.396 0.366 0.569
Se26 Se 0.104 0.173 0.470
Se27 Se 0.203 0.673 0.069
Se28 Se 0.173 0.069 0.703
Se29 Se 0.634 0.030 0.203
Se30 Se 0.866 0.569 0.896
Se31 Se 0.530 0.327 0.896
Se32 Se 0.569 0.866 0.396
Se33 Se 0.931 0.827 0.797
Se34 Se 0.931 0.104 0.634
Se35 Se 0.866 0.297 0.470
Se36 Se 0.173 0.104 0.970
Se37 Se 0.634 0.604 0.931
Se38 Se 0.396 0.030 0.327
Se39 Se 0.297 0.431 0.827
Se40 Se 0.203 0.530 0.634
Se41 Se 0.896 0.069 0.866
Se42 Se 0.673 0.203 0.569
Se43 Se 0.470 0.797 0.866
Se44 Se 0.030 0.396 0.827
Se45 Se 0.431 0.297 0.327
Se46 Se 0.030 0.634 0.703
Se47 Se 0.673 0.470 0.604
Se48 Se 0.297 0.866 0.970
```

=====

Crystalline MnReNi2Ge at its relaxed geometry. Source: Alexandria, functional PBE-GGA.

Summary:
**Formation energy from the elements**: 546 kJ/mol of formula units

Structure (CIF):
```
data_MnReNi2Ge
_chemical_formula_sum 'Mn1 Re1 Ni2 Ge1'
_space_group_name_H-M_alt 'P 1'
_space_group_IT_number 1
_space_group_name_Hall 'P 1'
_cell_length_a 4.549
_cell_length_b 4.701
_cell_length_c 4.549
_cell_angle_alpha 90.00
_cell_angle_beta 90.00
_cell_angle_gamma 90.00
loop_
_atom_site_label
_atom_site_type_symbol
_atom_site_fract_x
_atom_site_fract_y
_atom_site_fract_z
Re1 Re 0.000 0.000 0.000
Ge1 Ge 0.000 0.500 0.000
Mn1 Mn 0.500 0.500 0.500
Ni1 Ni 0.000 0.000 0.500
Ni2 Ni 0.500 0.000 0.000
```

=====

no.,M_tot (μB per atom),Fermi-level density of states (states/eV/atom)
1,0.00,1.73
2,0.00,0.88
3,0.00,0.92
4,0.83,0.83